PrDy2ErSc4: optimized geometry, PBE-GGA.

Computed properties:
- SG = Imma (74)
- density of states at the Fermi level (states/eV per atom) = 2.178
- calculated density (Mg/m³) = 5.767
- DFT formation energy (meV per atom) = 437

Cell: 9.097 9.097 11.296 Å, 128.38 128.38 88.31°
Each line ends with the local moment (μB).
Fractional coordinates of all 16 atoms:
Sc 0.750 0.749 0.497  0.31
Sc 0.752 0.248 0.500  0.32
Sc 0.248 0.752 0.500  0.32
Sc 0.250 0.251 0.503  0.31
Sc 0.252 0.748 0.000  0.32
Sc 0.751 0.750 0.003  0.31
Sc 0.748 0.252 0.000  0.32
Sc 0.249 0.250 0.997  0.31
Dy 0.500 0.000 0.000  0.31
Dy 0.500 0.500 0.000  0.31
Dy 0.000 0.000 0.500  0.31
Dy 0.500 0.000 0.500  0.31
Er 0.000 0.500 0.500  0.29
Er 0.000 0.500 0.000  0.29
Pr 0.500 0.500 0.500  0.19
Pr 0.000 0.000 0.000  0.19